1.
A plane-wave DFT calculation with PBE was carried out for a relaxed Na2YPt2 crystal.

Cell and atoms, written as extended XYZ:
```
10
Lattice="7.109 0.000 0.000 0.000 7.109 0.000 0.000 0.000 4.720" Properties=species:S:1:pos:R:3 pbc="T T T"
Na 1.122 2.433 0.000
Na 2.433 5.987 0.000
Na 4.676 1.122 0.000
Na 5.987 4.676 0.000
Y 0.000 0.000 2.360
Y 3.555 3.555 2.360
Pt 0.931 4.486 2.360
Pt 2.623 0.931 2.360
Pt 4.486 6.178 2.360
Pt 6.178 2.623 2.360
```

The calculation puts the energy of formation from the pure elements at -0.364 eV/atom. The total moment is 0.00 μB per formula unit. As for the energy: -4.601 eV/atom.



2.
A plane-wave DFT calculation with PBE was carried out for a relaxed NaY3Pt crystal.

Cell and atoms, written as extended XYZ:
```
5
Lattice="5.296 0.000 0.000 0.000 5.296 0.000 0.000 0.000 5.296" Properties=species:S:1:pos:R:3 pbc="T T T"
Na 0.000 0.000 0.000
Y 0.000 0.000 2.648
Y 0.000 2.648 0.000
Y 2.648 0.000 0.000
Pt 2.648 2.648 2.648
```

The calculation puts the energy of formation from the pure elements at 0.984 eV/atom. For the energy above the most stable polymorph in this dataset, the calculation gives 125.4 kJ per mole of atoms. The total moment is 0.18 μB per formula unit. As for the energy: -4.366 eV/atom.



3.
A plane-wave DFT calculation with PBE was carried out for a relaxed NaY4Pt2 crystal.

Cell and atoms, written as extended XYZ:
```
14
Lattice="5.338 0.000 0.000 0.000 5.338 0.000 0.000 0.000 14.084" Properties=species:S:1:pos:R:3 pbc="T T T"
Na 0.000 0.000 0.000
Na 2.669 2.669 7.042
Y 0.000 0.000 2.974
Y 0.000 0.000 11.110
Y 0.000 2.669 0.000
Y 0.000 2.669 7.042
Y 2.669 0.000 0.000
Y 2.669 0.000 7.042
Y 2.669 2.669 4.068
Y 2.669 2.669 10.016
Pt 0.000 0.000 5.626
Pt 0.000 0.000 8.458
Pt 2.669 2.669 1.416
Pt 2.669 2.669 12.668
```

The calculation puts the energy of formation from the pure elements at 0.040 eV/atom. The total moment is 0.00 μB per formula unit. As for the energy: -5.569 eV/atom.



4.
A plane-wave DFT calculation with PBE was carried out for a relaxed Na3YPt crystal.

Cell and atoms, written as extended XYZ:
```
5
Lattice="5.374 0.000 0.000 0.000 5.374 0.000 0.000 0.000 5.374" Properties=species:S:1:pos:R:3 pbc="T T T"
Na 0.000 0.000 2.687
Na 0.000 2.687 0.000
Na 2.687 0.000 0.000
Y 2.687 2.687 2.687
Pt 0.000 0.000 0.000
```

The calculation puts the energy of formation from the pure elements at 0.433 eV/atom. For the energy above the most stable polymorph in this dataset, the calculation gives 0.0 kJ per mole of atoms. The total moment is 0.93 μB per formula unit. As for the energy: -2.859 eV/atom.



5.
A plane-wave DFT calculation with PBE was carried out for a relaxed NaZnPt crystal.

Cell and atoms, written as extended XYZ:
```
3
Lattice="2.894 0.000 0.000 0.000 4.195 0.000 0.000 0.000 5.199" Properties=species:S:1:pos:R:3 pbc="T T T"
Na 0.000 0.000 0.000
Zn 0.000 2.098 2.599
Pt 1.447 0.000 2.599
```

The calculation puts the energy of formation from the pure elements at -0.377 eV/atom. For the energy above the most stable polymorph in this dataset, the calculation gives 3.2 kJ per mole of atoms. The total moment is 0.00 μB per formula unit. As for the energy: -3.255 eV/atom.



6.
A plane-wave DFT calculation with PBE was carried out for a relaxed NaZnPt crystal.

Cell and atoms, written as extended XYZ:
```
12
Lattice="5.380 0.000 0.000 0.000 5.564 0.000 0.000 0.000 7.149" Properties=species:S:1:pos:R:3 pbc="T T T"
Na 0.000 1.391 0.954
Na 0.000 4.173 6.195
Na 2.690 1.391 2.621
Na 2.690 4.173 4.529
Zn 1.345 1.391 5.362
Zn 1.345 4.173 1.787
Zn 4.035 1.391 5.362
Zn 4.035 4.173 1.787
Pt 0.000 0.000 3.575
Pt 0.000 2.782 3.575
Pt 2.690 0.000 0.000
Pt 2.690 2.782 0.000
```

The calculation puts the energy of formation from the pure elements at -0.410 eV/atom. For the energy above the most stable polymorph in this dataset, the calculation gives 0.0 kJ per mole of atoms. The total moment is 0.00 μB per formula unit. As for the energy: -3.288 eV/atom.



7.
A plane-wave DFT calculation with PBE was carried out for a relaxed NaZn10Pt2 crystal.

Cell and atoms, written as extended XYZ:
```
26
Lattice="4.479 -5.268 0.000 4.479 5.268 0.000 0.000 0.000 8.923" Properties=species:S:1:pos:R:3 pbc="T T T"
Na 4.479 3.861 6.692
Na 4.479 -3.861 2.231
Zn 4.479 3.713 0.902
Zn 4.479 3.713 3.560
Zn 2.424 1.282 6.692
Zn 3.082 1.346 2.231
Zn 2.030 0.000 0.000
Zn 2.030 0.000 4.461
Zn 4.479 1.267 4.864
Zn 4.479 1.267 8.520
Zn 2.424 -1.282 2.231
Zn 3.082 -1.346 6.692
Zn 5.875 1.346 2.231
Zn 6.533 1.282 6.692
Zn 4.479 -1.267 0.403
Zn 4.479 -1.267 4.059
Zn 6.927 0.000 0.000
Zn 6.927 0.000 4.461
Zn 5.875 -1.346 6.692
Zn 6.533 -1.282 2.231
Zn 4.479 -3.713 5.363
Zn 4.479 -3.713 8.021
Pt 2.239 2.634 0.000
Pt 2.239 2.634 4.461
Pt 2.239 -2.634 0.000
Pt 2.239 -2.634 4.461
```

The calculation puts the energy of formation from the pure elements at -0.243 eV/atom. The total moment is 0.00 μB per formula unit. As for the energy: -2.254 eV/atom.



8.
A plane-wave DFT calculation with PBE was carried out for a relaxed NaZn4Pt crystal.

Cell and atoms, written as extended XYZ:
```
6
Lattice="0.000 3.596 3.596 3.596 0.000 3.596 3.596 3.596 0.000" Properties=species:S:1:pos:R:3 pbc="T T T"
Na 0.000 0.000 0.000
Zn 2.702 2.702 2.702
Zn 4.491 4.491 2.702
Zn 4.491 2.702 4.491
Zn 2.702 4.491 4.491
Pt 5.394 5.394 5.394
```

The calculation puts the energy of formation from the pure elements at -0.195 eV/atom. For the energy above the most stable polymorph in this dataset, the calculation gives 0.0 kJ per mole of atoms. The total moment is 0.00 μB per formula unit. As for the energy: -2.271 eV/atom.



9.
A plane-wave DFT calculation with PBE was carried out for a relaxed NaZn3Pt crystal.

Cell and atoms, written as extended XYZ:
```
10
Lattice="-3.000 4.811 3.816 3.000 -4.811 3.816 3.000 4.811 -3.816" Properties=species:S:1:pos:R:3 pbc="T T T"
Na 0.000 2.405 0.856
Na 3.000 2.405 2.960
Zn 3.000 2.405 -0.510
Zn 1.500 4.370 -1.908
Zn 1.500 -0.441 1.908
Zn -1.500 5.251 1.908
Zn 1.500 5.251 1.908
Zn 0.000 2.405 4.325
Pt 3.000 0.000 0.000
Pt 0.000 0.000 3.816
```

The calculation puts the energy of formation from the pure elements at -0.246 eV/atom. For the energy above the most stable polymorph in this dataset, the calculation gives 2.2 kJ per mole of atoms. The total moment is 0.00 μB per formula unit. As for the energy: -2.482 eV/atom.



10.
A plane-wave DFT calculation with PBE was carried out for a relaxed Na2Zn5Pt3 crystal.

Cell and atoms, written as extended XYZ:
```
20
Lattice="5.401 -6.013 0.000 5.401 6.013 0.000 -1.257 0.000 5.467" Properties=species:S:1:pos:R:3 pbc="T T T"
Na 2.899 3.456 5.229
Na 6.017 3.456 2.971
Na 3.528 -3.456 2.496
Na 6.646 -3.456 0.237
Zn 5.087 5.964 1.367
Zn 3.551 1.970 2.638
Zn 1.984 0.365 4.955
Zn 2.612 -0.365 2.221
Zn 6.622 1.970 0.095
Zn 2.923 -1.970 5.372
Zn 6.933 0.365 3.245
Zn 7.561 -0.365 0.512
Zn 5.994 -1.970 2.828
Zn 4.458 -5.964 4.100
Pt 0.945 1.550 3.015
Pt 1.574 -1.550 0.282
Pt 5.087 0.149 1.367
Pt 4.458 -0.149 4.100
Pt 7.971 1.550 5.185
Pt 8.600 -1.550 2.452
```

The calculation puts the energy of formation from the pure elements at -0.361 eV/atom. The total moment is 0.00 μB per formula unit. As for the energy: -3.074 eV/atom.



11.
A plane-wave DFT calculation with PBE was carried out for a relaxed NaZn3Pt3 crystal.

Cell and atoms, written as extended XYZ:
```
14
Lattice="6.925 0.000 0.000 0.000 6.925 0.000 0.000 0.000 6.925" Properties=species:S:1:pos:R:3 pbc="T T T"
Na 0.000 0.000 0.000
Na 3.463 3.463 3.463
Zn 0.000 1.731 3.463
Zn 0.000 5.194 3.463
Zn 1.731 3.463 0.000
Zn 3.463 0.000 1.731
Zn 3.463 0.000 5.194
Zn 5.194 3.463 0.000
Pt 0.000 3.463 1.731
Pt 0.000 3.463 5.194
Pt 1.731 0.000 3.463
Pt 3.463 1.731 0.000
Pt 3.463 5.194 0.000
Pt 5.194 0.000 3.463
```

The calculation puts the energy of formation from the pure elements at 0.029 eV/atom. The total moment is 0.00 μB per formula unit. As for the energy: -3.295 eV/atom.



12.
A plane-wave DFT calculation with PBE was carried out for a relaxed NaZnPt crystal.

Cell and atoms, written as extended XYZ:
```
6
Lattice="5.052 0.000 0.000 1.734 4.756 0.000 0.866 2.371 5.063" Properties=species:S:1:pos:R:3 pbc="T T T"
Na 0.000 0.000 0.000
Na 3.304 2.305 0.000
Zn 1.652 1.153 2.411
Zn 5.045 3.531 2.375
Pt 2.518 3.531 2.644
Pt 5.912 5.909 2.655
```

The calculation puts the energy of formation from the pure elements at -0.350 eV/atom. For the energy above the most stable polymorph in this dataset, the calculation gives 5.8 kJ per mole of atoms. The total moment is 0.00 μB per formula unit. As for the energy: -3.228 eV/atom.



13.
A plane-wave DFT calculation with PBE was carried out for a relaxed Na2Zn15Pt2 crystal.

Cell and atoms, written as extended XYZ:
```
19
Lattice="4.505 2.601 4.396 -4.505 2.601 4.396 0.000 -5.202 4.396" Properties=species:S:1:pos:R:3 pbc="T T T"
Na 0.000 0.000 2.090
Na 0.000 0.000 11.097
Zn -2.252 -1.300 4.396
Zn 0.000 -2.597 4.176
Zn -2.249 1.299 4.176
Zn -1.312 -2.272 6.594
Zn -2.623 0.000 6.594
Zn -2.249 -1.299 9.011
Zn -2.252 1.300 8.792
Zn 1.312 -2.272 6.594
Zn 0.000 2.601 4.396
Zn -1.312 2.272 6.594
Zn 2.249 1.299 4.176
Zn 2.623 0.000 6.594
Zn 1.312 2.272 6.594
Zn 2.249 -1.299 9.011
Zn 0.000 2.597 9.011
Pt 0.000 0.000 5.141
Pt 0.000 0.000 8.046
```

The calculation puts the energy of formation from the pure elements at -0.128 eV/atom. The total moment is 0.00 μB per formula unit. As for the energy: -1.908 eV/atom.



14.
A plane-wave DFT calculation with PBE was carried out for a relaxed Na2Zn3Pt2 crystal.

Cell and atoms, written as extended XYZ:
```
14
Lattice="10.783 0.000 0.000 0.000 4.306 0.000 -3.287 0.000 6.174" Properties=species:S:1:pos:R:3 pbc="T T T"
Na 0.695 0.000 1.728
Na 1.409 2.153 4.446
Na 6.087 2.153 1.728
Na 6.801 0.000 4.446
Zn -1.644 2.153 3.087
Zn -1.310 2.153 5.743
Zn 3.415 0.000 0.431
Zn 3.748 0.000 3.087
Zn 4.081 0.000 5.743
Zn 8.806 2.153 0.431
Pt -1.034 0.000 4.351
Pt 3.139 2.153 1.823
Pt 4.357 2.153 4.351
Pt 8.530 0.000 1.823
```

The calculation puts the energy of formation from the pure elements at -0.349 eV/atom. The total moment is 0.00 μB per formula unit. As for the energy: -2.998 eV/atom.



15.
A plane-wave DFT calculation with PBE was carried out for a relaxed NaZnPt crystal.

Cell and atoms, written as extended XYZ:
```
3
Lattice="4.548 0.000 0.000 -2.274 3.939 0.000 0.000 0.000 2.889" Properties=species:S:1:pos:R:3 pbc="T T T"
Na 0.000 0.000 0.000
Zn 2.274 1.313 1.451
Pt 0.000 2.626 1.440
```

The calculation puts the energy of formation from the pure elements at -0.231 eV/atom. For the energy above the most stable polymorph in this dataset, the calculation gives 17.2 kJ per mole of atoms. The total moment is 0.00 μB per formula unit. As for the energy: -3.109 eV/atom.



16.
A plane-wave DFT calculation with PBE was carried out for a relaxed NaZn2Pt2 crystal.

Cell and atoms, written as extended XYZ:
```
10
Lattice="4.103 0.000 0.000 0.000 4.103 0.000 0.000 0.000 11.201" Properties=species:S:1:pos:R:3 pbc="T T T"
Na 0.000 0.000 0.000
Na 2.051 2.051 5.601
Zn 0.000 2.051 2.800
Zn 0.000 2.051 8.401
Zn 2.051 0.000 2.800
Zn 2.051 0.000 8.401
Pt 0.000 0.000 4.314
Pt 0.000 0.000 6.888
Pt 2.051 2.051 1.287
Pt 2.051 2.051 9.914
```

The calculation puts the energy of formation from the pure elements at -0.338 eV/atom. For the energy above the most stable polymorph in this dataset, the calculation gives 15.8 kJ per mole of atoms. The total moment is 0.00 μB per formula unit. As for the energy: -3.527 eV/atom.



17.
A plane-wave DFT calculation with PBE was carried out for a relaxed NaZn11Pt crystal.

Cell and atoms, written as extended XYZ:
```
13
Lattice="2.653 -6.398 0.000 2.653 6.398 0.000 -2.452 0.000 6.175" Properties=species:S:1:pos:R:3 pbc="T T T"
Na 0.000 0.000 0.000
Zn 1.327 3.199 0.000
Zn 0.202 4.175 4.006
Zn 0.147 1.428 4.829
Zn 2.653 4.175 2.169
Zn 2.707 1.428 1.345
Zn 1.327 -3.199 0.000
Zn 1.427 0.000 3.087
Zn 0.147 -1.428 4.829
Zn 0.202 -4.175 4.006
Zn 2.707 -1.428 1.345
Zn 2.653 -4.175 2.169
Pt -1.226 0.000 3.087
```

The calculation puts the energy of formation from the pure elements at -0.130 eV/atom. The total moment is 0.00 μB per formula unit. As for the energy: -1.774 eV/atom.



18.
A plane-wave DFT calculation with PBE was carried out for a relaxed NaZn3Pt crystal.

Cell and atoms, written as extended XYZ:
```
5
Lattice="4.880 0.000 0.000 0.000 4.880 0.000 0.000 0.000 4.880" Properties=species:S:1:pos:R:3 pbc="T T T"
Na 0.000 0.000 0.000
Zn 0.000 2.440 2.440
Zn 2.440 0.000 2.440
Zn 2.440 2.440 0.000
Pt 2.440 2.440 2.440
```

The calculation puts the energy of formation from the pure elements at -0.219 eV/atom. For the energy above the most stable polymorph in this dataset, the calculation gives 4.8 kJ per mole of atoms. The total moment is 0.00 μB per formula unit. As for the energy: -2.456 eV/atom.



19.
A plane-wave DFT calculation with PBE was carried out for a relaxed Na3Zn3Pt2 crystal.

Cell and atoms, written as extended XYZ:
```
8
Lattice="7.682 0.000 0.000 -3.841 6.653 0.000 0.000 0.000 2.845" Properties=species:S:1:pos:R:3 pbc="T T T"
Na -2.927 5.069 0.000
Na 0.914 1.584 0.000
Na 5.853 0.000 0.000
Zn -1.637 2.836 1.422
Zn 3.274 0.000 1.422
Zn 2.204 3.817 1.422
Pt 0.000 4.435 0.000
Pt 3.841 2.218 0.000
```

The calculation puts the energy of formation from the pure elements at -0.269 eV/atom. The total moment is 0.00 μB per formula unit. As for the energy: -2.751 eV/atom.



20.
A plane-wave DFT calculation with PBE was carried out for a relaxed NaZn2Pt crystal.

Cell and atoms, written as extended XYZ:
```
4
Lattice="3.308 0.000 0.000 0.000 3.308 0.000 0.000 0.000 6.452" Properties=species:S:1:pos:R:3 pbc="T T T"
Na 0.000 0.000 0.000
Zn 1.654 1.654 1.923
Zn 1.654 1.654 4.529
Pt 0.000 0.000 3.226
```

The calculation puts the energy of formation from the pure elements at -0.191 eV/atom. The total moment is 0.00 μB per formula unit. As for the energy: -2.668 eV/atom.



21.
A plane-wave DFT calculation with PBE was carried out for a relaxed NaZnPt crystal.

Cell and atoms, written as extended XYZ:
```
6
Lattice="0.000 4.205 5.134 2.861 0.000 5.134 2.861 4.205 0.000" Properties=species:S:1:pos:R:3 pbc="T T T"
Na 2.861 1.644 5.134
Na 2.861 6.766 5.134
Zn 2.861 4.205 2.809
Zn 2.861 4.205 7.459
Pt 1.431 2.102 2.567
Pt 4.292 6.307 7.701
```

The calculation puts the energy of formation from the pure elements at -0.386 eV/atom. For the energy above the most stable polymorph in this dataset, the calculation gives 2.3 kJ per mole of atoms. The total moment is 0.00 μB per formula unit. As for the energy: -3.264 eV/atom.



22.
A plane-wave DFT calculation with PBE was carried out for a relaxed NaZnPt3 crystal.

Cell and atoms, written as extended XYZ:
```
5
Lattice="4.704 0.000 0.000 0.000 4.704 0.000 0.000 0.000 4.704" Properties=species:S:1:pos:R:3 pbc="T T T"
Na 0.000 0.000 0.000
Zn 2.352 2.352 2.352
Pt 0.000 2.352 2.352
Pt 2.352 0.000 2.352
Pt 2.352 2.352 0.000
```

The calculation puts the energy of formation from the pure elements at 0.438 eV/atom. For the energy above the most stable polymorph in this dataset, the calculation gives 0.0 kJ per mole of atoms. The total moment is 0.00 μB per formula unit. As for the energy: -3.705 eV/atom.